*A*
Below is a geometry-optimized Ag2AsI structure, with properties calculated at the PBE level.

Summary:
DOS at the Fermi energy, states/eV/cell: 3.84

abc: 5.060 5.060 5.060
angles: 60.00 60.00 60.00
Sites, in units of the cell vectors:
As  0.000  0.000  0.000
I  0.500  0.500  0.500
Ag  0.750  0.750  0.750
Ag  0.250  0.250  0.250



*B*
Below is a geometry-optimized Ag2AsI structure, with properties calculated at the PBE level.

Summary:
DOS at the Fermi energy, states/eV/cell: 2.53

abc: 6.619 6.619 7.214
angles: 62.70 62.70 90.00
Sites, in units of the cell vectors:
As  0.500  0.500  0.000
Ag  0.875  0.829  0.750
As  0.250  0.750  0.500
I  0.000  0.000  0.000
Ag  0.375  0.421  0.750
Ag  0.579  0.125  0.250
I  0.750  0.250  0.500
Ag  0.171  0.625  0.250



Computed energies relative to the best structure, in meV per atom: *A* 346; *B* 0